DFT (PBE) results for an optimized crystal structure of Sc5Au.

Lattice parameters (Å, degrees): 5.8646 5.8646 10.9656 136.72 136.72 34.19
Atoms (fractional coordinates):
Au  0.9722  0.9722  0.9446
Sc  0.7604  0.7604  0.0866
Sc  0.4724  0.4724  0.4444
Sc  0.1838  0.1838  0.8019
Sc  0.3358  0.3358  0.6383
Sc  0.6088  0.6088  0.2509

Output
magnetization = 0.0000 μB/atom
space-group type = C2/m
ΔE to the lowest computed polymorph = 0.000 eV/atom